A plane-wave DFT calculation with PBE-GGA was carried out for a relaxed ZrSc2Se crystal.

Cell and atoms, written as CIF:
```
data_ZrSc2Se
_chemical_formula_sum 'Zr2 Sc4 Se2'
_symmetry_space_group_name_H-M 'I -4 m 2'
_symmetry_Int_Tables_number 119
_symmetry_space_group_name_Hall 'I -4 -2'
_cell_length_a 4.1839
_cell_length_b 4.1839
_cell_length_c 9.6096
_cell_angle_alpha 90.00
_cell_angle_beta 90.00
_cell_angle_gamma 90.00
loop_
_atom_site_label
_atom_site_fract_x
_atom_site_fract_y
_atom_site_fract_z
Zr1 0.0000 0.0000 0.0000
Sc1 0.0000 0.0000 0.5000
Sc2 0.0000 0.5000 0.7500
Se1 0.0000 0.5000 0.2500
```

The total energy comes out at -52.39 eV/cell. The value obtained for the size of the total moment is 0.00 μB per cell. Its raw formation energy is -36 kJ per mole of atoms.

=====

A plane-wave DFT calculation with PBE-GGA was carried out for a relaxed Ir3Se crystal.

Cell and atoms, written as CIF:
```
data_Ir3Se
_chemical_formula_sum 'Ir6 Se2'
_symmetry_space_group_name_H-M 'I 4/m m m'
_symmetry_Int_Tables_number 139
_symmetry_space_group_name_Hall '-I 4 2'
_cell_length_a 4.0226
_cell_length_b 4.0226
_cell_length_c 7.5879
_cell_angle_alpha 90.00
_cell_angle_beta 90.00
_cell_angle_gamma 90.00
loop_
_atom_site_label
_atom_site_fract_x
_atom_site_fract_y
_atom_site_fract_z
Ir1 0.0000 0.0000 0.0000
Ir2 0.0000 0.5000 0.2500
Se1 0.0000 0.0000 0.5000
```

The total energy comes out at -55.58 eV/cell. The value obtained for the size of the total moment is 0.00 μB per cell. Its raw formation energy is 55 kJ per mole of atoms.

=====

A plane-wave DFT calculation with PBE-GGA was carried out for a relaxed InCu3Au6 crystal.

Cell and atoms, written as CIF:
```
data_InCu3Au6
_chemical_formula_sum 'In4 Cu12 Au24'
_symmetry_space_group_name_H-M 'C m c 21'
_symmetry_Int_Tables_number 36
_cell_length_a 9.2896
_cell_length_b 12.6201
_cell_length_c 6.0735
_cell_angle_alpha 90.00
_cell_angle_beta 90.00
_cell_angle_gamma 90.00
loop_
_symmetry_equiv_pos_as_xyz
'x,y,z'
'-x,-y,z+1/2'
'-x,y,z'
'x,-y,z+1/2'
'x+1/2,y+1/2,z'
'-x+1/2,-y+1/2,z+1/2'
'-x+1/2,y+1/2,z'
'x+1/2,-y+1/2,z+1/2'
loop_
_atom_site_label
_atom_site_fract_x
_atom_site_fract_y
_atom_site_fract_z
In1 0.0000 0.2312 0.0000
Cu1 0.0000 0.4424 0.7534
Cu2 0.1369 0.1300 0.6535
Au1 0.0000 0.0390 0.3084
Au2 0.0000 0.3009 0.4380
Au3 0.2128 0.4725 0.4623
Au4 0.2463 0.3114 0.7793
```

The total energy comes out at -138.00 eV/cell. The value obtained for the size of the total moment is 0.00 μB per cell.

=====

A plane-wave DFT calculation with PBE-GGA was carried out for a relaxed Te4I3Br crystal.

Cell and atoms, written as CIF:
```
data_Te4I3Br
_chemical_formula_sum 'Te8 I6 Br2'
_symmetry_space_group_name_H-M 'I m m 2'
_symmetry_Int_Tables_number 44
_cell_length_a 6.4500
_cell_length_b 13.5946
_cell_length_c 8.7797
_cell_angle_alpha 90.00
_cell_angle_beta 90.00
_cell_angle_gamma 90.00
loop_
_symmetry_equiv_pos_as_xyz
'x,y,z'
'-x,-y,z'
'-x,y,z'
'x,-y,z'
'x+1/2,y+1/2,z+1/2'
'-x+1/2,-y+1/2,z+1/2'
'-x+1/2,y+1/2,z+1/2'
'x+1/2,-y+1/2,z+1/2'
loop_
_atom_site_label
_atom_site_fract_x
_atom_site_fract_y
_atom_site_fract_z
Te1 0.0000 0.1402 0.0000
Te2 0.2460 0.5000 0.6883
I1 0.0000 0.0000 0.7304
I2 0.0000 0.2620 0.2736
Br1 0.0000 0.5000 0.9648
```

The total energy comes out at -36.60 eV/cell. The value obtained for the size of the total moment is 0.02 μB per cell. Its raw formation energy is 7 kJ per mole of atoms.

=====

A plane-wave DFT calculation with PBE-GGA was carried out for a relaxed DyAuSe2 crystal.

Cell and atoms, written as CIF:
```
data_DyAuSe2
_chemical_formula_sum 'Dy3 Au3 Se6'
_symmetry_space_group_name_H-M 'P 32 2 1'
_symmetry_Int_Tables_number 154
_cell_length_a 4.2929
_cell_length_b 4.2929
_cell_length_c 23.3741
_cell_angle_alpha 90.00
_cell_angle_beta 90.00
_cell_angle_gamma 120.00
loop_
_symmetry_equiv_pos_as_xyz
'x,y,z'
'-y,x-y,z+2/3'
'-x+y,-x,z+1/3'
'y,x,-z'
'x-y,-y,-z+1/3'
'-x,-x+y,-z+2/3'
loop_
_atom_site_label
_atom_site_fract_x
_atom_site_fract_y
_atom_site_fract_z
Dy1 0.0000 0.3291 0.3333
Au1 0.0000 0.3353 0.8333
Se1 0.0042 0.3375 0.9373
```

The total energy comes out at -58.11 eV/cell. The value obtained for the size of the total moment is 0.00 μB per cell. Its raw formation energy is -109 kJ per mole of atoms.

=====

A plane-wave DFT calculation with PBE-GGA was carried out for a relaxed Ca5Al crystal.

Cell and atoms, written as CIF:
```
data_Ca5Al
_chemical_formula_sum 'Ca10 Al2'
_symmetry_space_group_name_H-M 'C 1 m 1'
_symmetry_Int_Tables_number 8
_cell_length_a 13.2805
_cell_length_b 3.8997
_cell_length_c 9.0538
_cell_angle_alpha 90.00
_cell_angle_beta 111.33
_cell_angle_gamma 90.00
loop_
_symmetry_equiv_pos_as_xyz
'x,y,z'
'x,-y,z'
'x+1/2,y+1/2,z'
'x+1/2,-y+1/2,z'
loop_
_atom_site_label
_atom_site_fract_x
_atom_site_fract_y
_atom_site_fract_z
Ca1 0.0000 0.0000 0.0000
Ca2 0.0299 0.0000 0.4240
Ca3 0.1664 0.5000 0.7890
Ca4 0.3023 0.0000 0.1543
Ca5 0.3330 0.0000 0.5791
Al1 0.1665 0.5000 0.2899
```

The total energy comes out at -28.06 eV/cell. The value obtained for the size of the total moment is 0.00 μB per cell.

=====

What is the size of the total moment in the fourth record?
0.02 μB per cell